No. 1
The following is a DFT calculation (PBE) of a relaxed structure of LiZn2CdF8.

POSCAR file:
```
LiZn2CdF8
1.0
3.516 -3.368 0.000
3.516 3.368 0.000
-0.144 0.000 6.437
Li Zn Cd F
1 2 1 8
direct
0.000 0.000 0.000
0.500 0.500 0.237
0.500 0.500 0.763
0.000 0.000 0.500
0.206 0.791 0.237
0.209 0.794 0.763
0.308 0.308 0.004
0.321 0.321 0.507
0.679 0.679 0.493
0.692 0.692 0.996
0.791 0.206 0.237
0.794 0.209 0.763
```

Density of states at the Fermi level ... 0.76 states/eV/atom
E_form (uncorrected) ... -2528 kJ/mol of formula units
Space-group type ... C2/m, No. 12

No. 2
The following is a DFT calculation (PBE) of a relaxed structure of LiZnCdF6.

POSCAR file:
```
LiZnCdF6
1.0
4.862 0.000 0.000
0.000 4.862 0.000
0.000 0.000 9.758
Li Zn Cd F
2 2 2 12
direct
0.000 0.000 0.000
0.500 0.500 0.500
0.000 0.000 0.334
0.500 0.500 0.834
0.000 0.000 0.667
0.500 0.500 0.167
0.182 0.182 0.172
0.198 0.198 0.487
0.209 0.209 0.840
0.291 0.709 0.340
0.302 0.698 0.987
0.318 0.682 0.672
0.682 0.318 0.672
0.698 0.302 0.987
0.709 0.291 0.340
0.791 0.791 0.840
0.802 0.802 0.487
0.818 0.818 0.172
```

Density of states at the Fermi level ... 0.59 states/eV/atom
E_form (uncorrected) ... -1857 kJ/mol of formula units
Space-group type ... P4_2nm, No. 102

No. 3
The following is a DFT calculation (PBE) of a relaxed structure of Mg2CdF6.

POSCAR file:
```
Mg2CdF6
1.0
2.756 1.591 4.738
-2.756 1.591 4.738
0.000 -3.182 4.738
Mg Cd F
2 1 6
direct
0.000 0.000 0.000
0.200 0.200 0.200
0.507 0.507 0.507
0.125 0.821 0.356
0.234 0.600 0.953
0.356 0.125 0.821
0.600 0.953 0.234
0.821 0.356 0.125
0.953 0.234 0.600
```

Density of states at the Fermi level ... 0.00 states/eV/atom
E_form (uncorrected) ... -2625 kJ/mol of formula units
Space-group type ... R3, No. 146

No. 4
The following is a DFT calculation (PBE) of a relaxed structure of MgCd2F.

POSCAR file:
```
MgCd2F
1.0
-3.948 3.948 2.630
3.948 -3.948 2.630
3.948 3.948 -2.630
Mg Cd F
2 4 2
direct
0.000 0.000 0.000
0.750 0.250 0.500
0.180 0.625 0.055
0.375 0.430 0.555
0.570 0.125 0.945
0.875 0.820 0.445
0.250 0.750 0.500
0.500 0.500 0.000
```

Density of states at the Fermi level ... 0.34 states/eV/atom
E_form (uncorrected) ... -281 kJ/mol of formula units
Space-group type ... I-42d, No. 122